(1)
Here is an optimized crystal structure of Ir2RhPb from the Alexandria database. Energies are from PBE.

Cell: 9.2573 2.9518 4.9729 Å, 90.00 99.98 90.00°
Space group C2/m (No. 12)
Inequivalent atoms, fractional coordinates:
Ir  0.2456  0.0000  0.2212 x4
Rh  0.0000  0.5000  0.0000 x2
Pb  0.0000  0.0000  0.5000 x2

The crystal system is monoclinic.

(2)
Here is an optimized crystal structure of Ir3RhPb from the Alexandria database. Energies are from PBE.

Cell: 4.7765 4.7765 4.7765 Å, 90.00 90.00 90.00°
Space group Pm-3m (No. 221)
Inequivalent atoms, fractional coordinates:
Ir  0.0000  0.0000  0.5000 x3
Rh  0.0000  0.0000  0.0000 x1
Pb  0.5000  0.5000  0.5000 x1

The relative energy among the computed polymorphs is 0.000 eV per atom. The crystal system is cubic.

(3)
Here is an optimized crystal structure of Ir2RhPb from the Alexandria database. Energies are from PBE.

Cell: 2.9460 2.9460 27.4365 Å, 90.00 90.00 120.00°
Space group R-3m (No. 166, hexagonal axes)
Inequivalent atoms, fractional coordinates:
Ir  0.0000  0.0000  0.2423 x6
Rh  0.0000  0.0000  0.5000 x3
Pb  0.0000  0.0000  0.0000 x3

The crystal system is trigonal.

(4)
Here is an optimized crystal structure of Ir2RhPb from the Alexandria database. Energies are from PBE.

Cell: 3.9876 3.9876 4.1551 Å, 90.00 90.00 90.00°
Space group P4/mmm (No. 123)
Inequivalent atoms, fractional coordinates:
Ir  0.0000  0.5000  0.0000 x2
Rh  0.0000  0.0000  0.5000 x1
Pb  0.5000  0.5000  0.5000 x1

The crystal system is tetragonal.

(5)
Here is an optimized crystal structure of Ir2RhPb from the Alexandria database. Energies are from PBE.

Cell: 2.8770 4.8756 9.6735 Å, 90.00 90.00 90.00°
Space group Imm2 (No. 44)
Inequivalent atoms, fractional coordinates:
Ir  0.0000  0.0000  0.0000 x2
Ir  0.0000  0.5000  0.2680 x2
Rh  0.0000  0.5000  0.7447 x2
Pb  0.0000  0.0000  0.5067 x2

The crystal system is orthorhombic.

(6)
Here is an optimized crystal structure of IrRhPb4 from the Alexandria database. Energies are from PBE.

Cell: 8.6026 8.6026 8.6026 Å, 90.00 90.00 90.00°
Space group F-43m (No. 216)
Inequivalent atoms, fractional coordinates:
Ir  0.0000  0.0000  0.0000 x4
Rh  0.2500  0.2500  0.2500 x4
Pb  0.1251  0.1251  0.6251 x16

The crystal system is cubic.

(7)
Here is an optimized crystal structure of Ir2RhPb from the Alexandria database. Energies are from PBE.

Cell: 4.7722 4.7722 2.9411 Å, 90.00 90.00 90.00°
Space group P4/mmm (No. 123)
Inequivalent atoms, fractional coordinates:
Ir  0.0000  0.5000  0.0000 x2
Rh  0.0000  0.0000  0.5000 x1
Pb  0.5000  0.5000  0.5000 x1

The crystal system is tetragonal.

(8)
Here is an optimized crystal structure of Ir2RhPb from the Alexandria database. Energies are from PBE.

Cell: 3.9360 3.9360 19.0700 Å, 90.00 90.00 90.00°
Space group I-42d (No. 122)
Inequivalent atoms, fractional coordinates:
Ir  0.1964  0.2500  0.1250 x8
Rh  0.0000  0.0000  0.0000 x4
Pb  0.0000  0.0000  0.5000 x4

The crystal system is tetragonal.

N(E_F) per entry: 4.03; 9.00; 5.87; 6.45; 5.34; 9.64; 4.34; 5.68 states/eV/f.u.
DFT formation energy per entry: 1.34; 7.95; 2.29; 1.34; 1.91; 6.86; 1.99; 2.35 eV per formula unit